Record 1
# ZrTe2AsI (PBE, relaxed)
# **SG**: P4/mmm (123)
# **Total magnetization**: 2.37 μB per formula unit
# **Energy above the lowest structure with this stoichiometry**: 0.000 eV per atom
# **Formation energy without anion corrections**: 0.169 eV per atom
data_ZrTe2AsI
_chemical_formula_sum 'Zr1 Te2 As1 I1'
_space_group_name_H-M_alt 'P 1'
_space_group_IT_number 1
_space_group_name_Hall 'P 1'
_cell_length_a 5.625
_cell_length_b 5.625
_cell_length_c 5.789
_cell_angle_alpha 90.00
_cell_angle_beta 90.00
_cell_angle_gamma 90.00
loop_
_atom_site_label
_atom_site_fract_x
_atom_site_fract_y
_atom_site_fract_z
Zr1 0.000 0.000 0.000
Te1 0.000 0.500 0.000
Te2 0.500 0.000 0.000
As1 0.500 0.500 0.500
I1 0.000 0.000 0.500

***

Record 2
# TiAsI2 (PBE, relaxed)
# **SG**: I-42d (122)
# **Total magnetization**: 0.00 μB per formula unit
# **Energy above the lowest structure with this stoichiometry**: 0.000 eV per atom
# **Formation energy without anion corrections**: -0.199 eV per atom
data_TiAsI2
_chemical_formula_sum 'Ti2 As2 I4'
_space_group_name_H-M_alt 'P 1'
_space_group_IT_number 1
_space_group_name_Hall 'P 1'
_cell_length_a 7.698
_cell_length_b 7.698
_cell_length_c 7.698
_cell_angle_alpha 95.92
_cell_angle_beta 95.92
_cell_angle_gamma 142.53
loop_
_atom_site_label
_atom_site_fract_x
_atom_site_fract_y
_atom_site_fract_z
Ti1 0.000 0.000 0.000
Ti2 0.750 0.250 0.500
As1 0.250 0.750 0.500
As2 0.500 0.500 0.000
I1 0.375 0.219 0.344
I2 0.781 0.125 0.156
I3 0.875 0.031 0.656
I4 0.969 0.625 0.844

***

Record 3
# Ti2AsI2 (PBE, relaxed)
# **SG**: R-3m (166)
# **Total magnetization**: 0.00 μB per formula unit
# **Formation energy without anion corrections**: -0.799 eV per atom
data_Ti2AsI2
_chemical_formula_sum 'Ti2 As1 I2'
_space_group_name_H-M_alt 'P 1'
_space_group_IT_number 1
_space_group_name_Hall 'P 1'
_cell_length_a 10.566
_cell_length_b 10.566
_cell_length_c 10.566
_cell_angle_alpha 21.18
_cell_angle_beta 21.18
_cell_angle_gamma 21.18
loop_
_atom_site_label
_atom_site_fract_x
_atom_site_fract_y
_atom_site_fract_z
Ti1 0.128 0.128 0.128
Ti2 0.872 0.872 0.872
As1 0.500 0.500 0.500
I1 0.266 0.266 0.266
I2 0.734 0.734 0.734